No. 1
Mg5Au24 | meta-GGA SCAN | single point on PBEsol structure

Structure (extended XYZ):
```
29
Lattice="-5.0391 5.0391 5.0391 5.0391 -5.0391 5.0391 5.0391 5.0391 -5.0391" Properties=species:S:1:pos:R:3 pbc="T T T"
Mg 0.0000 0.0000 0.0000
Mg 3.1926 3.1926 -3.1926
Mg 3.1926 -3.1926 3.1926
Mg 1.8464 1.8464 1.8464
Mg -3.1926 3.1926 3.1926
Au 2.8757 0.9498 -0.9498
Au 2.8757 -0.9498 0.9498
Au 5.5954 1.3684 -1.3684
Au 5.5954 -1.3684 1.3684
Au 7.2024 0.9498 0.9498
Au 0.9498 2.8757 -0.9498
Au 0.9498 -0.9498 2.8757
Au 4.4827 1.3684 1.3684
Au 3.6707 3.6707 -0.5564
Au 3.6707 -0.5564 3.6707
Au -0.9498 2.8757 0.9498
Au -0.9498 0.9498 2.8757
Au 1.3684 5.5954 -1.3684
Au 1.3684 -1.3684 5.5954
Au 1.3684 4.4827 1.3684
Au 1.3684 1.3684 4.4827
Au 4.0893 4.0893 2.1633
Au 4.0893 2.1633 4.0893
Au -1.3684 5.5954 1.3684
Au -1.3684 1.3684 5.5954
Au -0.5564 3.6707 3.6707
Au 0.9498 7.2024 0.9498
Au 0.9498 0.9498 7.2024
Au 2.1633 4.0893 4.0893
```

The calculation puts the density of states at the Fermi level at 8.50 states/eV/f.u. The calculation puts the formation energy at -0.233 eV/atom. For the total energy, the calculation gives -1691.39 eV per cell.



No. 2
ReAg3 | meta-GGA SCAN | single point on PBEsol structure

Structure (extended XYZ):
```
4
Lattice="4.7365 -1.3307 0.0000 4.7365 1.3307 0.0000 -0.6496 0.0000 5.0381" Properties=species:S:1:pos:R:3 pbc="T T T"
Re 0.0000 0.0000 0.0000
Ag 1.9037 0.0000 3.8040
Ag 4.4117 0.0000 2.5191
Ag 6.9197 0.0000 1.2342
```

The calculation puts the density of states at the Fermi level at 2.24 states/eV/f.u. The calculation puts the formation energy at 0.629 eV/atom. For the total energy, the calculation gives -162.68 eV per cell.



No. 3
MnTcIr | meta-GGA SCAN | single point on PBEsol structure

Structure (extended XYZ):
```
3
Lattice="4.1148 0.0000 0.0000 -2.0574 3.5635 0.0000 0.0000 0.0000 2.6516" Properties=species:S:1:pos:R:3 pbc="T T T"
Mn 0.0000 0.0000 0.0000
Tc 2.0574 1.1878 0.0000
Ir 0.0000 2.3757 1.3258
```

The calculation puts the density of states at the Fermi level at 2.20 states/eV/f.u. The calculation puts the formation energy at -0.120 eV/atom. For the total energy, the calculation gives -124.78 eV per cell.



No. 4
MnAsSe2 | meta-GGA SCAN | single point on PBEsol structure

Structure (extended XYZ):
```
4
Lattice="1.6320 0.9422 7.9750 -1.6320 0.9422 7.9750 0.0000 -1.8845 7.9750" Properties=species:S:1:pos:R:3 pbc="T T T"
Mn 0.0000 0.0000 0.0000
As 0.0000 0.0000 6.2820
Se 0.0000 0.0000 12.4149
Se 0.0000 0.0000 17.3852
```

The calculation puts the density of states at the Fermi level at 2.11 states/eV/f.u. The uncorrected formation energy is -100 meV per atom. For the total energy, the calculation gives -79.00 eV per cell.



No. 5
ReIrBr | meta-GGA SCAN | single point on PBEsol structure

Structure (extended XYZ):
```
3
Lattice="4.2753 0.0000 0.0000 -2.1377 3.7025 0.0000 0.0000 0.0000 2.9272" Properties=species:S:1:pos:R:3 pbc="T T T"
Re 0.0000 0.0000 0.0000
Ir 2.1377 1.2342 1.3744
Br 0.0000 2.4684 2.5125
```

The calculation puts the density of states at the Fermi level at 2.50 states/eV/f.u. The uncorrected formation energy is 1358 meV per atom. For the total energy, the calculation gives -157.58 eV per cell.



No. 6
Sb2RuC6O6F12 | meta-GGA SCAN | single point on PBEsol structure

Structure (extended XYZ):
```
54
Lattice="8.1562 0.0000 0.0000 0.0000 8.1562 0.0000 0.0000 0.0000 12.2997" Properties=species:S:1:pos:R:3 pbc="T T T"
Sb 0.0000 4.0781 3.0749
Sb 0.0000 4.0781 9.2248
Sb 4.0781 0.0000 3.0749
Sb 4.0781 0.0000 9.2248
Ru 0.0000 0.0000 0.0000
Ru 4.0781 4.0781 6.1499
C 0.0000 0.0000 1.9855
C 0.0000 0.0000 10.3142
C 1.0537 1.6905 0.0000
C 1.6905 7.1025 0.0000
C 2.3876 3.0244 6.1499
C 3.0244 5.7686 6.1499
C 4.0781 4.0781 4.1644
C 4.0781 4.0781 8.1353
C 5.1318 2.3876 6.1499
C 5.7686 5.1318 6.1499
C 6.4656 1.0537 0.0000
C 7.1025 6.4656 0.0000
O 0.0000 0.0000 3.1212
O 0.0000 0.0000 9.1785
O 1.4187 2.4328 6.1499
O 1.6453 2.6593 0.0000
O 2.4328 6.7374 6.1499
O 2.6593 6.5109 0.0000
O 4.0781 4.0781 3.0286
O 4.0781 4.0781 9.2711
O 5.4968 1.6453 0.0000
O 5.7234 1.4187 6.1499
O 6.5109 5.4968 0.0000
O 6.7374 5.7234 6.1499
F 0.8899 5.0806 1.7118
F 0.8899 5.0806 10.5879
F 1.0025 4.9680 4.4381
F 1.0025 4.9680 7.8617
F 1.3443 2.7338 3.0749
F 1.3443 2.7338 9.2248
F 2.7338 6.8118 3.0749
F 2.7338 6.8118 9.2248
F 3.0755 0.8899 1.7118
F 3.0755 0.8899 10.5879
F 3.1882 1.0025 4.4381
F 3.1882 1.0025 7.8617
F 4.9680 7.1536 4.4381
F 4.9680 7.1536 7.8617
F 5.0806 7.2663 1.7118
F 5.0806 7.2663 10.5879
F 5.4224 1.3443 3.0749
F 5.4224 1.3443 9.2248
F 6.8118 5.4224 3.0749
F 6.8118 5.4224 9.2248
F 7.1536 3.1882 4.4381
F 7.1536 3.1882 7.8617
F 7.2663 3.0755 1.7118
F 7.2663 3.0755 10.5879
```

The calculation puts the density of states at the Fermi level at 0.00 states/eV/f.u. The uncorrected formation energy is -1615 meV per atom. For the total energy, the calculation gives -586.84 eV per cell.



No. 7
Ca4CoSb | meta-GGA SCAN | single point on PBEsol structure

Structure (extended XYZ):
```
6
Lattice="0.0000 4.4037 4.4037 4.4037 0.0000 4.4037 4.4037 4.4037 0.0000" Properties=species:S:1:pos:R:3 pbc="T T T"
Ca 1.1012 1.1012 1.1012
Ca 3.3025 3.3025 1.1012
Ca 3.3025 1.1012 3.3025
Ca 1.1012 3.3025 3.3025
Co 4.4037 4.4037 4.4037
Sb 6.6056 6.6056 6.6056
```

The calculation puts the density of states at the Fermi level at 1.46 states/eV/f.u. The uncorrected formation energy is 544 meV per atom. For the total energy, the calculation gives -89.96 eV per cell.



No. 8
EuCrO3 | meta-GGA SCAN | single point on PBEsol structure

Structure (extended XYZ):
```
5
Lattice="3.7909 0.0000 0.0000 0.0000 3.7909 0.0000 0.0000 0.0000 3.7909" Properties=species:S:1:pos:R:3 pbc="T T T"
Eu 0.0000 0.0000 0.0000
Cr 1.8954 1.8954 1.8954
O 0.0000 1.8954 1.8954
O 1.8954 0.0000 1.8954
O 1.8954 1.8954 0.0000
```

The calculation puts the density of states at the Fermi level at 7.27 states/eV/f.u. The uncorrected formation energy is -2863 meV per atom. For the total energy, the calculation gives -105.10 eV per cell.



No. 9
LiNiP2 | meta-GGA SCAN | single point on PBEsol structure

Structure (extended XYZ):
```
8
Lattice="-3.4144 3.4144 2.3288 3.4144 -3.4144 2.3288 3.4144 3.4144 -2.3288" Properties=species:S:1:pos:R:3 pbc="T T T"
Li 0.0000 0.0000 0.0000
Li 0.0000 3.4144 1.1644
Ni 3.4144 0.0000 1.1644
Ni 0.0000 0.0000 2.3288
P 1.7072 2.1267 -0.5822
P 4.7021 1.7072 0.5822
P 1.7072 1.2877 1.7466
P -1.2877 1.7072 2.9110
```

The calculation puts the density of states at the Fermi level at 1.75 states/eV/f.u. The calculation puts the formation energy at -0.158 eV/atom. For the total energy, the calculation gives -79.98 eV per cell.



No. 10
CuOs2Cl | meta-GGA SCAN | single point on PBEsol structure

Structure (extended XYZ):
```
4
Lattice="0.0000 2.9800 2.9800 2.9800 0.0000 2.9800 2.9800 2.9800 0.0000" Properties=species:S:1:pos:R:3 pbc="T T T"
Cu 0.0000 0.0000 0.0000
Os 1.4900 1.4900 1.4900
Os 4.4699 4.4699 4.4699
Cl 2.9800 2.9800 2.9800
```

The calculation puts the density of states at the Fermi level at 4.42 states/eV/f.u. The uncorrected formation energy is 1491 meV per atom. For the total energy, the calculation gives -160.97 eV per cell.



No. 11
LiCrC2 | meta-GGA SCAN | single point on PBEsol structure

Structure (extended XYZ):
```
4
Lattice="0.0000 2.4764 2.4764 2.4764 0.0000 2.4764 2.4764 2.4764 0.0000" Properties=species:S:1:pos:R:3 pbc="T T T"
Li 0.0000 0.0000 0.0000
Cr 2.4764 2.4764 2.4764
C 1.2382 1.2382 1.2382
C 3.7146 3.7146 3.7146
```

The calculation puts the density of states at the Fermi level at 3.18 states/eV/f.u. The calculation puts the formation energy at 1.068 eV/atom. For the total energy, the calculation gives -36.70 eV per cell.



No. 12
In3AsRu | meta-GGA SCAN | single point on PBEsol structure

Structure (extended XYZ):
```
5
Lattice="5.1271 0.0000 0.0000 0.0000 5.1271 0.0000 0.0000 0.0000 5.1271" Properties=species:S:1:pos:R:3 pbc="T T T"
In 0.0000 0.0000 2.5636
In 0.0000 2.5636 0.0000
In 2.5636 0.0000 0.0000
As 0.0000 0.0000 0.0000
Ru 2.5636 2.5636 2.5636
```

The calculation puts the density of states at the Fermi level at 3.00 states/eV/f.u. The calculation puts the formation energy at 1.143 eV/atom. For the total energy, the calculation gives -149.46 eV per cell.



No. 13
Sr5Br | meta-GGA SCAN | single point on PBEsol structure

Structure (extended XYZ):
```
6
Lattice="3.9597 0.0000 0.0000 0.0000 3.9597 0.0000 0.0000 0.0000 17.1272" Properties=species:S:1:pos:R:3 pbc="T T T"
Sr 0.0000 0.0000 0.0000
Sr 0.0000 0.0000 6.3228
Sr 0.0000 0.0000 10.8044
Sr 1.9798 1.9798 3.1941
Sr 1.9798 1.9798 13.9331
Br 1.9798 1.9798 8.5636
```

The calculation puts the density of states at the Fermi level at 4.29 states/eV/f.u. The uncorrected formation energy is -462 meV per atom. For the total energy, the calculation gives -133.61 eV per cell.



No. 14
CoSb2W | meta-GGA SCAN | single point on PBEsol structure

Structure (extended XYZ):
```
4
Lattice="3.2952 0.0000 0.0000 0.0000 3.2982 0.0000 -0.3056 0.0000 6.1962" Properties=species:S:1:pos:R:3 pbc="T T T"
Co 0.0000 0.0000 0.0000
Sb 1.4977 1.6491 1.5035
Sb 1.4919 1.6491 4.6927
W -0.1528 0.0000 3.0981
```

The calculation puts the density of states at the Fermi level at 2.09 states/eV/f.u. The uncorrected formation energy is 602 meV per atom. For the total energy, the calculation gives -159.11 eV per cell.



No. 15
ScTl2In | meta-GGA SCAN | single point on PBEsol structure

Structure (extended XYZ):
```
4
Lattice="4.5524 0.0000 0.0000 0.0000 4.5524 0.0000 0.0000 0.0000 4.4815" Properties=species:S:1:pos:R:3 pbc="T T T"
Sc 0.0000 0.0000 0.0000
Tl 0.0000 2.2762 2.2408
Tl 2.2762 0.0000 2.2408
In 2.2762 2.2762 0.0000
```

The calculation puts the density of states at the Fermi level at 1.99 states/eV/f.u. The calculation puts the formation energy at -0.241 eV/atom. For the total energy, the calculation gives -193.30 eV per cell.



No. 16
ZnInSe | meta-GGA SCAN | single point on PBEsol structure

Structure (extended XYZ):
```
3
Lattice="3.8134 0.0000 0.0000 -1.9067 3.3025 0.0000 0.0000 0.0000 5.1413" Properties=species:S:1:pos:R:3 pbc="T T T"
Zn 0.0000 0.0000 0.0000
In 0.0000 2.2017 3.3038
Se 1.9067 1.1008 1.2856
```

The calculation puts the density of states at the Fermi level at 0.66 states/eV/f.u. The uncorrected formation energy is -298 meV per atom. For the total energy, the calculation gives -67.87 eV per cell.



No. 17
Sc2CuTc | meta-GGA SCAN | single point on PBEsol structure

Structure (extended XYZ):
```
4
Lattice="-1.9368 1.9368 4.3691 1.9368 -1.9368 4.3691 1.9368 1.9368 -4.3691" Properties=species:S:1:pos:R:3 pbc="T T T"
Sc 0.0000 0.0000 0.0000
Sc 0.0000 1.9368 2.1846
Cu 1.9368 0.0000 2.1846
Tc 0.0000 0.0000 4.3691
```

The calculation puts the density of states at the Fermi level at 1.66 states/eV/f.u. The calculation puts the formation energy at -0.107 eV/atom. For the total energy, the calculation gives -79.16 eV per cell.



No. 18
Fe2HgMo | meta-GGA SCAN | single point on PBEsol structure

Structure (extended XYZ):
```
4
Lattice="-1.9579 1.9579 3.5800 1.9579 -1.9579 3.5800 1.9579 1.9579 -3.5800" Properties=species:S:1:pos:R:3 pbc="T T T"
Fe 1.9579 0.0000 1.7900
Fe 0.0000 1.9579 1.7900
Hg 0.0000 0.0000 0.0000
Mo 0.0000 0.0000 3.5800
```

The calculation puts the density of states at the Fermi level at 2.30 states/eV/f.u. The calculation puts the formation energy at 0.434 eV/atom. For the total energy, the calculation gives -137.57 eV per cell.



No. 19
CdInRe | meta-GGA SCAN | single point on PBEsol structure

Structure (extended XYZ):
```
3
Lattice="-1.4331 1.4331 6.7611 1.4331 -1.4331 6.7611 1.4331 1.4331 -6.7611" Properties=species:S:1:pos:R:3 pbc="T T T"
Cd 0.0000 0.0000 0.0000
In 0.0000 0.0000 9.3396
Re 0.0000 0.0000 4.6748
```

The calculation puts the density of states at the Fermi level at 2.69 states/eV/f.u. The calculation puts the formation energy at 0.700 eV/atom. For the total energy, the calculation gives -132.80 eV per cell.



No. 20
HPd2F | meta-GGA SCAN | single point on PBEsol structure

Structure (extended XYZ):
```
4
Lattice="0.0000 2.7835 2.7835 2.7835 0.0000 2.7835 2.7835 2.7835 0.0000" Properties=species:S:1:pos:R:3 pbc="T T T"
H 0.0000 0.0000 0.0000
Pd 1.3918 1.3918 1.3918
Pd 4.1753 4.1753 4.1753
F 2.7835 2.7835 2.7835
```

The calculation puts the density of states at the Fermi level at 3.28 states/eV/f.u. For the total energy, the calculation gives -71.78 eV per cell.



No. 21
Al2CrTe | meta-GGA SCAN | single point on PBEsol structure

Structure (extended XYZ):
```
4
Lattice="3.3800 0.0000 0.0000 0.0000 3.3800 0.0000 0.0000 0.0000 5.8447" Properties=species:S:1:pos:R:3 pbc="T T T"
Al 0.0000 0.0000 1.2463
Al 0.0000 0.0000 4.5983
Cr 1.6900 1.6900 0.0000
Te 1.6900 1.6900 2.9223
```

The calculation puts the density of states at the Fermi level at 2.04 states/eV/f.u. The uncorrected formation energy is 174 meV per atom. For the total energy, the calculation gives -70.44 eV per cell.



No. 22
ZnTeMoN2 | meta-GGA SCAN | single point on PBEsol structure

Structure (extended XYZ):
```
5
Lattice="3.8700 0.0000 0.0000 0.0000 3.8700 0.0000 0.0000 0.0000 5.6313" Properties=species:S:1:pos:R:3 pbc="T T T"
Zn 0.0000 0.0000 0.0000
Te 1.9350 1.9350 0.0000
Mo 1.9350 1.9350 2.8157
N 0.0000 1.9350 2.8157
N 1.9350 0.0000 2.8157
```

The calculation puts the density of states at the Fermi level at 1.65 states/eV/f.u. The uncorrected formation energy is 364 meV per atom. For the total energy, the calculation gives -102.41 eV per cell.



No. 23
La3IrO7 | meta-GGA SCAN | single point on PBEsol structure

Structure (extended XYZ):
```
22
Lattice="5.5638 -3.7029 0.0000 5.5638 3.7029 0.0000 0.0000 0.0000 7.5718" Properties=species:S:1:pos:R:3 pbc="T T T"
La 0.0000 0.0000 0.0000
La 0.0000 0.0000 3.7859
La 3.0971 1.3778 5.6788
La 3.0971 -1.3778 1.8929
La 8.0306 1.3778 5.6788
La 8.0306 -1.3778 1.8929
Ir 5.5638 0.0000 0.0000
Ir 5.5638 0.0000 3.7859
O 1.4433 0.2311 1.8929
O 1.4433 -0.2311 5.6788
O 4.1697 1.3686 0.3159
O 4.1697 1.3686 3.4700
O 5.5638 0.6351 5.6788
O 6.9580 1.3686 0.3159
O 6.9580 1.3686 3.4700
O 4.1697 -1.3686 4.1018
O 4.1697 -1.3686 7.2559
O 5.5638 -0.6351 1.8929
O 6.9580 -1.3686 4.1018
O 6.9580 -1.3686 7.2559
O 9.6844 0.2311 1.8929
O 9.6844 -0.2311 5.6788
```

The calculation puts the density of states at the Fermi level at 2.65 states/eV/f.u. The uncorrected formation energy is -2901 meV per atom. For the total energy, the calculation gives -551.88 eV per cell.



No. 24
KIr2Cl | meta-GGA SCAN | single point on PBEsol structure

Structure (extended XYZ):
```
4
Lattice="2.7911 0.0000 0.0000 0.0000 2.7911 0.0000 0.0000 0.0000 8.9757" Properties=species:S:1:pos:R:3 pbc="T T T"
K 0.0000 0.0000 0.0000
Ir 1.3956 1.3956 2.6853
Ir 1.3956 1.3956 6.2904
Cl 0.0000 0.0000 4.4878
```

The calculation puts the density of states at the Fermi level at 3.03 states/eV/f.u. The uncorrected formation energy is 1206 meV per atom. For the total energy, the calculation gives -153.68 eV per cell.